# PRh5, optimized geometry, DFT GGA-PBE
# Calculated formation energy in eV/atom: -0.14
# E above lowest polymorph in meV/atom: 0
# Density of states at the Fermi level in states/eV/cell: 19.7
data_PRh5
_cell_length_a 4.272
_cell_length_b 13.929
_cell_length_c 2.818
_cell_angle_alpha 90.00
_cell_angle_beta 90.00
_cell_angle_gamma 90.00
_space_group_name_H-M_alt 'C m m m'
_space_group_IT_number 65
_space_group_name_Hall '-C 2 2'
loop_
_atom_site_label
_atom_site_type_symbol
_atom_site_fract_x
_atom_site_fract_y
_atom_site_fract_z
P1 P 0.000 0.000 0.000
Rh1 Rh 0.000 0.133 0.500
Rh2 Rh 0.000 0.308 0.000
Rh3 Rh 0.000 0.500 0.500

# Pr4MgCd, optimized geometry, DFT GGA-PBE
# Calculated formation energy in eV/atom: -0.14
# E above lowest polymorph in meV/atom: 0
# Density of states at the Fermi level in states/eV/cell: 13.4
data_Pr4MgCd
_cell_length_a 17.587
_cell_length_b 3.863
_cell_length_c 5.654
_cell_angle_alpha 90.00
_cell_angle_beta 90.02
_cell_angle_gamma 90.00
_space_group_name_H-M_alt 'C 1 m 1'
_space_group_IT_number 8
loop_
_space_group_symop_operation_xyz
'x,y,z'
'x,-y,z'
'x+1/2,y+1/2,z'
'x+1/2,-y+1/2,z'
loop_
_atom_site_label
_atom_site_type_symbol
_atom_site_fract_x
_atom_site_fract_y
_atom_site_fract_z
Pr1 Pr 0.000 0.000 0.000
Pr2 Pr 0.046 0.500 0.500
Pr3 Pr 0.188 0.500 0.001
Pr4 Pr 0.358 0.500 0.500
Mg1 Mg 0.202 0.000 0.501
Cd1 Cd 0.341 0.000 0.000

# Pm2Si4MoIr3, optimized geometry, DFT GGA-PBE
# ΔE_f (raw) in kJ/mol of formula units: -819
# Density of states at the Fermi level in states/eV/cell: 9.1
data_Pm2Si4MoIr3
_cell_length_a 4.198
_cell_length_b 4.198
_cell_length_c 10.035
_cell_angle_alpha 90.00
_cell_angle_beta 90.00
_cell_angle_gamma 90.00
_space_group_name_H-M_alt 'P -4 m 2'
_space_group_IT_number 115
loop_
_space_group_symop_operation_xyz
'x,y,z'
'y,-x,-z'
'-x,-y,z'
'-y,x,-z'
'-x,y,z'
'-y,-x,-z'
'x,-y,z'
'y,x,-z'
loop_
_atom_site_label
_atom_site_type_symbol
_atom_site_fract_x
_atom_site_fract_y
_atom_site_fract_z
Pm1 Pm 0.000 0.500 0.244
Si1 Si 0.000 0.000 0.000
Si2 Si 0.000 0.500 0.634
Si3 Si 0.500 0.500 0.000
Mo1 Mo 0.000 0.000 0.500
Ir1 Ir 0.000 0.500 0.878
Ir2 Ir 0.500 0.500 0.500

# HoTaV4, optimized geometry, DFT GGA-PBE
# Calculated formation energy in eV/atom: 0.21
# Density of states at the Fermi level in states/eV/cell: 35.5
data_HoTaV4
_cell_length_a 7.331
_cell_length_b 7.331
_cell_length_c 7.331
_cell_angle_alpha 90.00
_cell_angle_beta 90.00
_cell_angle_gamma 90.00
_space_group_name_H-M_alt 'F -4 3 m'
_space_group_IT_number 216
_space_group_name_Hall 'F -4 2 3'
loop_
_atom_site_label
_atom_site_type_symbol
_atom_site_fract_x
_atom_site_fract_y
_atom_site_fract_z
Ho1 Ho 0.000 0.000 0.000
Ta1 Ta 0.250 0.250 0.750
V1 V 0.125 0.125 0.375

# Cd12Ag7Sn2, optimized geometry, DFT GGA-PBE
# Calculated formation energy in eV/atom: 0.00
# Density of states at the Fermi level in states/eV/cell: 8.0
data_Cd12Ag7Sn2
_cell_length_a 12.6869
_cell_length_b 12.6869
_cell_length_c 3.1829
_cell_angle_alpha 90.00
_cell_angle_beta 90.00
_cell_angle_gamma 120.00
_space_group_name_H-M_alt 'P -6'
_space_group_IT_number 174
loop_
_space_group_symop_operation_xyz
'x,y,z'
'-x+y,-x,-z'
'-y,x-y,z'
'x,y,-z'
'-x+y,-x,z'
'-y,x-y,-z'
loop_
_atom_site_label
_atom_site_type_symbol
_atom_site_fract_x
_atom_site_fract_y
_atom_site_fract_z
Cd1 Cd 0.0545 0.7863 0.0000
Cd2 Cd 0.1112 0.4002 0.5000
Cd3 Cd 0.4124 0.2558 0.5000
Cd4 Cd 0.5048 0.1008 0.0000
Ag1 Ag 0.0989 0.6167 0.5000
Ag2 Ag 0.2301 0.0490 0.0000
Ag3 Ag 0.6667 0.3333 0.5000
Sn1 Sn 0.0000 0.0000 0.5000
Sn2 Sn 0.3333 0.6667 0.0000

# BaZr2CdCu, optimized geometry, DFT GGA-PBE
# Calculated formation energy in eV/atom: 1.20
# Density of states at the Fermi level in states/eV/cell: 9.2
data_BaZr2CdCu
_cell_length_a 5.341
_cell_length_b 5.341
_cell_length_c 6.398
_cell_angle_alpha 90.00
_cell_angle_beta 90.00
_cell_angle_gamma 90.00
_space_group_name_H-M_alt 'P 4/m m m'
_space_group_IT_number 123
_space_group_name_Hall '-P 4 2'
loop_
_atom_site_label
_atom_site_type_symbol
_atom_site_fract_x
_atom_site_fract_y
_atom_site_fract_z
Ba1 Ba 0.000 0.000 0.000
Zr1 Zr 0.000 0.500 0.500
Cd1 Cd 0.000 0.000 0.500
Cu1 Cu 0.500 0.500 0.000

Number 1: total magnetic moment 0.00 μB per formula unit, VASP energy -7.173 eV per atom. Number 2: total magnetic moment 0.00 μB per formula unit, VASP energy -3.743 eV per atom. Number 3: total magnetic moment 0.81 μB per formula unit, VASP energy -7.710 eV per atom. Number 4: total magnetic moment 0.00 μB per formula unit, VASP energy -8.605 eV per atom. Number 5: total magnetic moment 0.00 μB per formula unit, VASP energy -1.852 eV per atom. Number 6: total magnetic moment 1.52 μB per formula unit, VASP energy -3.604 eV per atom.